Entry 1:
An optimized crystal structure of Tb3PrSm6Dy2, computed with PBE-GGA.

The structure in CIF format:
```
data_Tb3PrSm6Dy2
_cell_length_a 6.244
_cell_length_b 10.810
_cell_length_c 11.943
_cell_angle_alpha 90.00
_cell_angle_beta 100.02
_cell_angle_gamma 90.00
_symmetry_space_group_name_H-M 'C 1 2/m 1'
_symmetry_Int_Tables_number 12
loop_
_symmetry_equiv_pos_as_xyz
'x,y,z'
'-x,-y,-z'
'-x,y,-z'
'x,-y,z'
'x+1/2,y+1/2,z'
'-x+1/2,-y+1/2,-z'
'-x+1/2,y+1/2,-z'
'x+1/2,-y+1/2,z'
loop_
_atom_site_label
_atom_site_type_symbol
_atom_site_fract_x
_atom_site_fract_y
_atom_site_fract_z
Tb1 Tb 0.000 0.000 0.000
Tb2 Tb 0.000 0.333 0.000
Pr1 Pr 0.000 0.500 0.500
Sm1 Sm 0.249 0.167 0.249
Sm2 Sm 0.250 0.000 0.751
Dy1 Dy 0.000 0.167 0.500
```

Entry 2:
An optimized crystal structure of Tb2PrSm4Dy, computed with PBE-GGA.

The structure in CIF format:
```
data_Tb2PrSm4Dy
_cell_length_a 6.243
_cell_length_b 3.617
_cell_length_c 11.985
_cell_angle_alpha 90.00
_cell_angle_beta 100.16
_cell_angle_gamma 90.00
_symmetry_space_group_name_H-M 'P 1 2/m 1'
_symmetry_Int_Tables_number 10
loop_
_symmetry_equiv_pos_as_xyz
'x,y,z'
'-x,-y,-z'
'-x,y,-z'
'x,-y,z'
loop_
_atom_site_label
_atom_site_type_symbol
_atom_site_fract_x
_atom_site_fract_y
_atom_site_fract_z
Tb1 Tb 0.000 0.000 0.000
Tb2 Tb 0.000 0.500 0.500
Pr1 Pr 0.500 0.000 0.500
Sm1 Sm 0.249 0.500 0.247
Sm2 Sm 0.250 0.000 0.752
Dy1 Dy 0.500 0.500 0.000
```

Entry 3:
An optimized crystal structure of TbPr2SmDy6, computed with PBE-GGA.

The structure in CIF format:
```
data_TbPr2SmDy6
_cell_length_a 9.063
_cell_length_b 15.087
_cell_length_c 9.790
_cell_angle_alpha 90.00
_cell_angle_beta 99.25
_cell_angle_gamma 90.00
_symmetry_space_group_name_H-M 'C 1 2/c 1'
_symmetry_Int_Tables_number 15
loop_
_symmetry_equiv_pos_as_xyz
'x,y,z'
'-x,-y,-z'
'-x,y,-z+1/2'
'x,-y,z+1/2'
'x+1/2,y+1/2,z'
'-x+1/2,-y+1/2,-z'
'-x+1/2,y+1/2,-z+1/2'
'x+1/2,-y+1/2,z+1/2'
loop_
_atom_site_label
_atom_site_type_symbol
_atom_site_fract_x
_atom_site_fract_y
_atom_site_fract_z
Tb1 Tb 0.000 0.094 0.250
Pr1 Pr 0.243 0.449 0.042
Sm1 Sm 0.000 0.483 0.750
Dy1 Dy 0.069 0.309 0.443
Dy2 Dy 0.099 0.106 0.620
Dy3 Dy 0.201 0.276 0.813
```

Entry 4:
An optimized crystal structure of TbPr2Sm3Dy6, computed with PBE-GGA.

The structure in CIF format:
```
data_TbPr2Sm3Dy6
_cell_length_a 6.233
_cell_length_b 10.791
_cell_length_c 11.860
_cell_angle_alpha 90.00
_cell_angle_beta 100.05
_cell_angle_gamma 90.00
_symmetry_space_group_name_H-M 'C 1 2/m 1'
_symmetry_Int_Tables_number 12
loop_
_symmetry_equiv_pos_as_xyz
'x,y,z'
'-x,-y,-z'
'-x,y,-z'
'x,-y,z'
'x+1/2,y+1/2,z'
'-x+1/2,-y+1/2,-z'
'-x+1/2,y+1/2,-z'
'x+1/2,-y+1/2,z'
loop_
_atom_site_label
_atom_site_type_symbol
_atom_site_fract_x
_atom_site_fract_y
_atom_site_fract_z
Tb1 Tb 0.000 0.000 0.000
Pr1 Pr 0.000 0.333 0.000
Sm1 Sm 0.000 0.167 0.500
Sm2 Sm 0.000 0.500 0.500
Dy1 Dy 0.249 0.000 0.749
Dy2 Dy 0.250 0.166 0.251
```

no.,DOS(E_F) (states/eV/cell),formation energy (eV per atom),total DFT energy (no corrections) (eV/atom)
1,31.1,0.014,-4.668
2,11.5,0.017,-4.673
3,57.6,0.118,-4.534
4,28.7,0.014,-4.649